Compound: CrHN2O
Source: the Alexandria database
Functional: GGA+U
Structure: relaxed

Summary:
The uncorrected energy is -5.383 eV per atom. The volume is 54.8 Å³/cell. Its density of states at the Fermi level is 0.171 states/eV per atom.

Unit cell a=3.8707 b=3.8707 c=3.6597 alpha=90.00 beta=90.00 gamma=90.00
Closest atoms and distances in Å follow each position.
Space group P4/mmm (No. 123)
Unique sites:
Cr  0.0000  0.0000  0.0000  2 O 1.83, 4 N 1.94
H  0.5000  0.5000  0.5000  8 N 2.66, 4 O 2.74
N  0.0000  0.5000  0.0000  2 Cr 1.94
O  0.0000  0.0000  0.5000  2 Cr 1.83